Version P
BaVP2O: relaxed, PBE+U.

* DOS at the Fermi energy: 3.18 states/eV/f.u.

Cell and atoms, written as extended XYZ:
```
5
Lattice="-4.024 -2.190 1.797 2.212 -4.380 -0.383 1.404 0.392 3.621" Properties=species:S:1:pos:R:3 pbc="T T T"
P 1.106 -2.190 -0.192
P -2.012 -1.095 0.899
Ba -0.204 -3.089 2.517
O 0.702 0.196 1.810
V 0.000 0.000 0.000
```

***

Version Q
BaVP2O: relaxed, PBE+U.

* DOS at the Fermi energy: 5.23 states/eV/f.u.

Cell and atoms, written as extended XYZ:
```
5
Lattice="-1.991 -3.074 -4.413 5.371 -1.381 -1.461 -0.212 -3.519 2.547" Properties=species:S:1:pos:R:3 pbc="T T T"
P 2.685 -0.691 -0.731
P -0.996 -1.537 -2.207
Ba 0.000 0.000 0.000
O -0.106 -1.759 1.273
V 1.584 -3.987 -1.664
```

***

version P comes first in stability; the runner-up is 1865 meV/atom higher.

***

Version P
BaPWO2: relaxed, PBE+U.

* DOS at the Fermi energy: 2.29 states/eV/f.u.

Cell and atoms, written as extended XYZ:
```
5
Lattice="-0.414 -1.821 3.781 4.002 -1.315 -0.195 1.484 4.193 2.182" Properties=species:S:1:pos:R:3 pbc="T T T"
O 2.001 -0.657 -0.097
O -0.207 -0.910 1.890
P 0.742 2.097 1.091
Ba 2.536 0.529 2.884
W 0.000 0.000 0.000
```

***

Version Q
BaPWO2: relaxed, PBE+U.

* DOS at the Fermi energy: 2.61 states/eV/f.u.

Cell and atoms, written as extended XYZ:
```
5
Lattice="4.333 0.000 0.000 0.000 4.333 0.000 0.000 0.000 7.019" Properties=species:S:1:pos:R:3 pbc="T T T"
O 0.000 2.167 0.000
O 2.167 0.000 0.000
P 0.000 0.000 3.510
Ba 0.000 0.000 0.000
W 2.167 2.167 3.510
```

***

version P comes first in stability; the runner-up is 1822 meV/atom higher.